The following is a DFT calculation (PBEsol) of a relaxed structure of SrLaCuSbO6.

POSCAR file:
```
SrLaCuSbO6
1.0
5.4663 0.0000 0.0036
0.0000 5.4974 0.0000
-0.1367 0.0000 8.5046
O Sb Sr Cu La
12 2 2 2 2
Direct
0.7102 0.0415 0.9508 O
0.7824 0.5263 0.9566 O
0.2102 0.9585 0.4508 O
0.2086 0.9626 0.0456 O
0.2824 0.4737 0.4566 O
0.9305 0.2694 0.2718 O
0.7086 0.0374 0.5456 O
0.0881 0.2389 0.7263 O
0.2758 0.4704 0.0493 O
0.7758 0.5296 0.5493 O
0.4305 0.7306 0.7718 O
0.5881 0.7611 0.2263 O
0.0004 0.2494 0.4996 Sb
0.5004 0.7506 0.9996 Sb
0.9861 0.7815 0.7524 Sr
0.4861 0.2185 0.2524 Sr
0.9983 0.2483 0.0015 Cu
0.4983 0.7517 0.5015 Cu
0.0197 0.7127 0.2462 La
0.5197 0.2873 0.7462 La
```

Magnetization = 2.01 μB/cell
Symmetry = Pc, No. 7
Final energy = -138.05 eV/cell

The following is a DFT calculation (PBEsol) of a relaxed structure of La2CuSnO6.

POSCAR file:
```
La2CuSnO6
1.0
-7.4740 -0.0495 2.0359
1.9601 -2.2917 7.1400
0.5472 8.2578 2.2097
O Cu Sn La
24 4 4 8
Direct
0.0436 0.7523 0.5805 O
0.9464 0.0543 0.7302 O
0.5530 0.5597 0.2736 O
0.5436 0.2477 0.4195 O
0.2500 0.4766 0.4113 O
0.9470 0.5597 0.2736 O
0.0536 0.9457 0.2698 O
0.4470 0.4403 0.7264 O
0.2500 0.9663 0.9767 O
0.7500 0.5234 0.5887 O
0.2500 0.0827 0.5418 O
0.0309 0.2491 0.0373 O
0.9691 0.7509 0.9627 O
0.4464 0.9457 0.2698 O
0.4691 0.2491 0.0373 O
0.7500 0.9173 0.4582 O
0.5309 0.7509 0.9627 O
0.7500 0.4774 0.9918 O
0.2500 0.5226 0.0082 O
0.4564 0.7523 0.5805 O
0.9564 0.2477 0.4195 O
0.5536 0.0543 0.7302 O
0.0530 0.4403 0.7264 O
0.7500 0.0337 0.0233 O
0.0000 0.0000 0.0000 Cu
0.5000 0.5000 0.0000 Cu
0.5000 0.0000 0.0000 Cu
0.0000 0.5000 0.0000 Cu
0.0000 0.5000 0.5000 Sn
0.5000 0.0000 0.5000 Sn
0.5000 0.5000 0.5000 Sn
0.0000 0.0000 0.5000 Sn
0.7500 0.7950 0.7568 La
0.2500 0.7144 0.7910 La
0.7500 0.7715 0.1927 La
0.7500 0.2856 0.2090 La
0.2500 0.2050 0.2432 La
0.7500 0.2831 0.7763 La
0.2500 0.7169 0.2237 La
0.2500 0.2285 0.8073 La
```

Magnetization = 0.00 μB/cell
Symmetry = P2_1/m, No. 11
Final energy = -298.97 eV/cell

The following is a DFT calculation (PBEsol) of a relaxed structure of Sr3LaCu4O8.

POSCAR file:
```
Sr3LaCu4O8
1.0
-3.4296 0.7211 -0.9774
0.6167 -7.5800 -7.7562
-3.6043 -7.5413 7.0834
Sr O Cu La
6 16 8 2
Direct
0.5000 0.2166 0.2597 Sr
0.5000 0.4889 0.4652 Sr
0.5000 0.7834 0.7597 Sr
0.5000 0.9939 0.0321 Sr
0.5000 0.0061 0.5321 Sr
0.5000 0.5111 0.9652 Sr
0.0000 0.3873 0.6032 O
0.0000 0.3577 0.8757 O
0.0000 0.6423 0.3757 O
0.0000 0.8472 0.1446 O
0.5000 0.9352 0.3027 O
0.0000 0.6127 0.1032 O
0.5000 0.0648 0.8027 O
0.0000 0.8643 0.6170 O
0.0000 0.3530 0.3590 O
0.0000 0.1528 0.6446 O
0.0000 0.6470 0.8590 O
0.0000 0.1357 0.1170 O
0.5000 0.5306 0.7078 O
0.5000 0.4694 0.2078 O
0.0000 0.8945 0.8977 O
0.0000 0.1055 0.3977 O
0.0000 0.9627 0.2871 Cu
0.0000 0.7524 0.4984 Cu
0.0000 0.4636 0.2163 Cu
0.0000 0.5364 0.7163 Cu
0.0000 0.2477 0.4969 Cu
0.0000 0.0373 0.7871 Cu
0.0000 0.2476 0.9984 Cu
0.0000 0.7523 0.9969 Cu
0.5000 0.7139 0.2368 La
0.5000 0.2861 0.7368 La
```

Magnetization = 0.00 μB/cell
Symmetry = Pmc2_1, No. 26
Final energy = -200.71 eV/cell

The following is a DFT calculation (PBEsol) of a relaxed structure of SrLa3Cu2O8.

POSCAR file:
```
SrLa3Cu2O8
1.0
-4.4961 1.8027 -2.1906
-0.2451 -4.3309 -3.0609
-1.1702 -3.9142 5.6319
O La Sr Cu
8 3 1 2
Direct
0.1797 0.0000 0.3594 O
0.7493 0.7458 0.9944 O
0.2451 0.2542 0.9944 O
0.3189 0.5000 0.6378 O
0.8309 0.0000 0.6618 O
0.6790 0.5000 0.3579 O
0.2451 0.7458 0.9944 O
0.7493 0.2542 0.9944 O
0.8589 0.5000 0.7179 La
0.1381 0.5000 0.2761 La
0.3613 0.0000 0.7226 La
0.6410 0.0000 0.2821 Sr
0.9995 0.0000 0.9990 Cu
0.5039 0.5000 0.0078 Cu
```

Magnetization = 0.00 μB/cell
Symmetry = Amm2, No. 38
Final energy = -103.08 eV/cell